<i>
A relaxed SiN crystal, computed with PBE.

Unit cell a=2.910 b=9.912 c=4.030 alpha=90.00 beta=90.00 gamma=90.00
Space group Pmmn (No. 59, origin choice 2)
Inequivalent atoms, fractional coordinates:
Si1 0.250 0.056 0.219 [4 per cell]
Si2 0.250 0.750 0.272 [2 per cell]
N1 0.250 0.250 0.973 [2 per cell]
N2 0.250 0.606 0.520 [4 per cell]

<ii>
A relaxed SiN crystal, computed with PBE.

Unit cell a=5.843 b=5.843 c=5.843 alpha=90.00 beta=90.00 gamma=90.00
Space group I-43m (No. 217)
Inequivalent atoms, fractional coordinates:
Si1 0.169 0.169 0.831 [8 per cell]
N1 0.155 0.155 0.155 [8 per cell]

Quick one: least stable of them? <ii>

<i>
A relaxed N crystal, computed with PBE.

Unit cell a=3.963 b=6.843 c=4.045 alpha=90.00 beta=118.36 gamma=90.00
Space group P2_1 (No. 4)
Inequivalent atoms, fractional coordinates:
N1 0.111 0.000 0.233 [2 per cell]
N2 0.245 0.896 0.474 [2 per cell]

<ii>
A relaxed N crystal, computed with PBE.

Unit cell a=7.222 b=7.222 c=7.222 alpha=90.00 beta=90.00 gamma=90.00
Space group Im-3m (No. 229)
Inequivalent atoms, fractional coordinates:
N1 0.106 0.106 0.106 [16 per cell]

Quick one: least stable of them? <ii>